Record 1
{
  "formula": "Cd2ReBiCl",
  "functional": "PBE",
  "state": "relaxed",
  "dos_at_fermi_per_ev_cell": 3.31,
  "density_kg_m3": 7711,
  "space_group": "P4/mmm",
  "formation_energy_uncorrected_ev_per_atom": 1.44,
  "magmom_total_mub_per_cell": 3.18,
  "e_tot_ev_per_atom": -2.564,
  "lattice_angstrom": [[5.121, 0.000, 0.000], [0.000, 5.121, 0.000], [0.000, 0.000, 5.382]],
  "species": ["Cd", "Cd", "Re", "Bi", "Cl"],
  "frac_coords": [[0.000, 0.500, 0.000], [0.500, 0.000, 0.000], [0.000, 0.000, 0.500], [0.500, 0.500, 0.500], [0.500, 0.500, 0.000]]
}

Record 2
{
  "formula": "Zr3Br",
  "functional": "PBE",
  "state": "relaxed",
  "dos_at_fermi_per_ev_cell": 4.01,
  "density_kg_m3": 6576,
  "space_group": "Imm2",
  "formation_energy_uncorrected_ev_per_atom": -0.03,
  "magmom_total_mub_per_cell": 0.00,
  "polymorph_energy_kj_per_mol_atoms": 21.6,
  "e_tot_ev_per_atom": -6.857,
  "lattice_angstrom": [[-1.678, 4.577, 2.906], [1.678, -4.577, 2.906], [1.678, 4.577, -2.906]],
  "species": ["Zr", "Zr", "Zr", "Br"],
  "frac_coords": [[0.000, 0.000, 0.000], [0.364, 0.578, 0.786], [0.792, 0.578, 0.214], [0.384, 0.884, 0.500]]
}

Record 3
{
  "formula": "K2Mg2NbO6",
  "functional": "PBE",
  "state": "relaxed",
  "dos_at_fermi_per_ev_cell": 9.17,
  "density_kg_m3": 3279,
  "space_group": "C2/m",
  "formation_energy_uncorrected_ev_per_atom": -2.16,
  "magmom_total_mub_per_cell": 1.09,
  "e_tot_ev_per_atom": -6.271,
  "lattice_angstrom": [[2.718, -4.703, 0.000], [2.718, 4.703, 0.000], [-1.980, 0.000, 6.253]],
  "species": ["K", "K", "Mg", "Mg", "Nb", "O", "O", "O", "O", "O", "O"],
  "frac_coords": [[0.171, 0.829, 0.000], [0.829, 0.171, 0.000], [0.337, 0.663, 0.500], [0.663, 0.337, 0.500], [0.000, 0.000, 0.500], [0.057, 0.379, 0.670], [0.254, 0.254, 0.329], [0.379, 0.057, 0.670], [0.621, 0.943, 0.330], [0.746, 0.746, 0.671], [0.943, 0.621, 0.330]]
}

Record 4
{
  "formula": "Zr2CuBr",
  "functional": "PBE",
  "state": "relaxed",
  "dos_at_fermi_per_ev_cell": 4.73,
  "density_kg_m3": 6455,
  "space_group": "F-43m",
  "formation_energy_uncorrected_ev_per_atom": 0.59,
  "magmom_total_mub_per_cell": 3.01,
  "polymorph_energy_kj_per_mol_atoms": 76.6,
  "e_tot_ev_per_atom": -5.121,
  "lattice_angstrom": [[0.000, 3.474, 3.474], [3.474, 0.000, 3.474], [3.474, 3.474, 0.000]],
  "species": ["Zr", "Zr", "Cu", "Br"],
  "frac_coords": [[0.000, 0.000, 0.000], [0.250, 0.250, 0.250], [0.500, 0.500, 0.500], [0.750, 0.750, 0.750]]
}

Record 5
{
  "formula": "TlH6N2F2",
  "functional": "PBE",
  "state": "relaxed",
  "dos_at_fermi_per_ev_cell": 2.80,
  "density_kg_m3": 4010,
  "space_group": "P-1",
  "magmom_total_mub_per_cell": 0.00,
  "e_tot_ev_per_atom": -4.663,
  "lattice_angstrom": [[3.923, 0.000, 0.000], [0.914, 5.494, 0.000], [1.808, 0.091, 5.312]],
  "species": ["Tl", "H", "H", "H", "H", "H", "H", "N", "N", "F", "F"],
  "frac_coords": [[0.000, 0.000, 0.000], [0.142, 0.382, 0.260], [0.223, 0.715, 0.522], [0.274, 0.505, 0.749], [0.726, 0.495, 0.251], [0.777, 0.285, 0.478], [0.858, 0.618, 0.740], [0.114, 0.658, 0.707], [0.886, 0.342, 0.293], [0.450, 0.784, 0.203], [0.550, 0.216, 0.797]]
}

Record 6
{
  "formula": "Ac2La3Tl3",
  "functional": "PBE",
  "state": "relaxed",
  "dos_at_fermi_per_ev_cell": 8.31,
  "density_kg_m3": 8737,
  "space_group": "Immm",
  "magmom_total_mub_per_cell": 0.00,
  "e_tot_ev_per_atom": -4.032,
  "lattice_angstrom": [[-2.032, 2.882, 12.042], [2.032, -2.882, 12.042], [2.032, 2.882, -12.042]],
  "species": ["Ac", "Ac", "La", "La", "La", "Tl", "Tl", "Tl"],
  "frac_coords": [[0.229, 0.229, 0.000], [0.771, 0.771, 0.000], [0.000, 0.000, 0.000], [0.381, 0.881, 0.500], [0.619, 0.119, 0.500], [0.113, 0.613, 0.500], [0.500, 0.500, 0.000], [0.887, 0.387, 0.500]]
}

Record 7
{
  "formula": "Ba3TlIn2",
  "functional": "PBE",
  "state": "relaxed",
  "dos_at_fermi_per_ev_cell": 4.75,
  "density_kg_m3": 5935,
  "space_group": "Cmmm",
  "magmom_total_mub_per_cell": 0.00,
  "polymorph_energy_kj_per_mol_atoms": 0.2,
  "e_tot_ev_per_atom": -2.662,
  "lattice_angstrom": [[3.027, -9.108, 0.000], [3.027, 9.108, 0.000], [0.000, 0.000, 4.293]],
  "species": ["Ba", "Ba", "Ba", "Tl", "In", "In"],
  "frac_coords": [[0.000, 0.000, 0.000], [0.333, 0.667, 0.000], [0.667, 0.333, 0.000], [0.500, 0.500, 0.500], [0.168, 0.832, 0.500], [0.832, 0.168, 0.500]]
}

Record 8
{
  "formula": "Ba2PrBiO6",
  "functional": "PBE",
  "state": "relaxed",
  "dos_at_fermi_per_ev_cell": 0.00,
  "density_kg_m3": 6859,
  "space_group": "C2/m",
  "formation_energy_uncorrected_ev_per_atom": -2.33,
  "magmom_total_mub_per_cell": 0.00,
  "e_tot_ev_per_atom": -6.554,
  "lattice_angstrom": [[5.401, -3.129, 0.000], [5.401, 3.129, 0.000], [-3.627, 0.000, 5.161]],
  "species": ["Ba", "Ba", "Pr", "Bi", "O", "O", "O", "O", "O", "O"],
  "frac_coords": [[0.248, 0.248, 0.239], [0.752, 0.752, 0.761], [0.000, 0.000, 0.500], [0.500, 0.500, 0.000], [0.217, 0.699, 0.194], [0.263, 0.263, 0.687], [0.301, 0.783, 0.806], [0.699, 0.217, 0.194], [0.737, 0.737, 0.313], [0.783, 0.301, 0.806]]
}

Record 9
{
  "formula": "CeSi2Ge2Pt7",
  "functional": "PBE",
  "state": "relaxed",
  "dos_at_fermi_per_ev_cell": 5.15,
  "density_kg_m3": 12481,
  "space_group": "C2/m",
  "formation_energy_uncorrected_ev_per_atom": -0.58,
  "magmom_total_mub_per_cell": 0.14,
  "e_tot_ev_per_atom": -6.275,
  "lattice_angstrom": [[2.788, -2.779, 0.000], [2.788, 2.779, 0.000], [-1.441, 0.000, 14.660]],
  "species": ["Ce", "Si", "Si", "Ge", "Ge", "Pt", "Pt", "Pt", "Pt", "Pt", "Pt", "Pt"],
  "frac_coords": [[0.000, 0.000, 0.000], [0.432, 0.432, 0.747], [0.568, 0.568, 0.253], [0.152, 0.152, 0.425], [0.848, 0.848, 0.575], [0.043, 0.543, 0.156], [0.403, 0.403, 0.588], [0.457, 0.957, 0.844], [0.500, 0.500, 0.000], [0.543, 0.043, 0.156], [0.597, 0.597, 0.412], [0.957, 0.457, 0.844]]
}

Record 10
{
  "formula": "AlHF3",
  "functional": "PBE",
  "state": "relaxed",
  "dos_at_fermi_per_ev_cell": 0.00,
  "density_kg_m3": 2375,
  "space_group": "C2/m",
  "magmom_total_mub_per_cell": 0.00,
  "polymorph_energy_kj_per_mol_atoms": 15.0,
  "e_tot_ev_per_atom": -4.721,
  "lattice_angstrom": [[6.599, -1.255, 0.000], [6.599, 1.255, 0.000], [-2.492, 0.000, 7.177]],
  "species": ["Al", "Al", "H", "H", "F", "F", "F", "F", "F", "F"],
  "frac_coords": [[0.086, 0.086, 0.458], [0.914, 0.914, 0.542], [0.361, 0.361, 0.036], [0.639, 0.639, 0.964], [0.139, 0.139, 0.957], [0.321, 0.321, 0.401], [0.422, 0.422, 0.720], [0.578, 0.578, 0.280], [0.679, 0.679, 0.599], [0.861, 0.861, 0.043]]
}

Record 11
{
  "formula": "KBaClF2",
  "functional": "PBE",
  "state": "relaxed",
  "dos_at_fermi_per_ev_cell": 0.00,
  "density_kg_m3": 2608,
  "space_group": "P4/mmm",
  "formation_energy_uncorrected_ev_per_atom": -2.88,
  "magmom_total_mub_per_cell": 0.00,
  "e_tot_ev_per_atom": -4.607,
  "lattice_angstrom": [[5.035, 0.000, 0.000], [0.000, 5.035, 0.000], [0.000, 0.000, 6.276]],
  "species": ["K", "Ba", "Cl", "F", "F"],
  "frac_coords": [[0.000, 0.000, 0.000], [0.500, 0.500, 0.500], [0.500, 0.500, 0.000], [0.000, 0.500, 0.500], [0.500, 0.000, 0.500]]
}

Record 12
{
  "formula": "Ho4SeS2",
  "functional": "PBE",
  "state": "relaxed",
  "dos_at_fermi_per_ev_cell": 2.22,
  "density_kg_m3": 8041,
  "space_group": "R-3m",
  "formation_energy_uncorrected_ev_per_atom": -1.62,
  "magmom_total_mub_per_cell": 0.00,
  "e_tot_ev_per_atom": -5.915,
  "lattice_angstrom": [[1.934, 1.117, 12.792], [-1.934, 1.117, 12.792], [0.000, -2.234, 12.792]],
  "species": ["Ho", "Ho", "Ho", "Ho", "Se", "S", "S"],
  "frac_coords": [[0.129, 0.129, 0.129], [0.285, 0.285, 0.285], [0.715, 0.715, 0.715], [0.871, 0.871, 0.871], [0.000, 0.000, 0.000], [0.421, 0.421, 0.421], [0.579, 0.579, 0.579]]
}

Record 13
{
  "formula": "Cd2Ag2I7",
  "functional": "PBE",
  "state": "relaxed",
  "dos_at_fermi_per_ev_cell": 11.87,
  "density_kg_m3": 4271,
  "space_group": "C2/c",
  "formation_energy_uncorrected_ev_per_atom": -0.35,
  "magmom_total_mub_per_cell": 0.00,
  "polymorph_energy_kj_per_mol_atoms": 0.0,
  "e_tot_ev_per_atom": -2.019,
  "lattice_angstrom": [[5.783, -6.629, 0.000], [5.783, 6.629, 0.000], [-4.512, 0.000, 13.475]],
  "species": ["Cd", "Cd", "Cd", "Cd", "Ag", "Ag", "Ag", "Ag", "I", "I", "I", "I", "I", "I", "I", "I", "I", "I", "I", "I", "I", "I"],
  "frac_coords": [[0.123, 0.197, 0.003], [0.197, 0.123, 0.503], [0.803, 0.877, 0.497], [0.877, 0.803, 0.997], [0.000, 0.367, 0.285], [0.000, 0.633, 0.715], [0.367, 0.000, 0.785], [0.633, 0.000, 0.215], [0.030, 0.818, 0.382], [0.088, 0.479, 0.129], [0.182, 0.970, 0.118], [0.279, 0.357, 0.406], [0.317, 0.683, 0.750], [0.357, 0.279, 0.906], [0.479, 0.088, 0.629], [0.521, 0.912, 0.371], [0.643, 0.721, 0.094], [0.683, 0.317, 0.250], [0.721, 0.643, 0.594], [0.818, 0.030, 0.882], [0.912, 0.521, 0.871], [0.970, 0.182, 0.618]]
}

Record 14
{
  "formula": "Tb3PmAu2",
  "functional": "PBE",
  "state": "relaxed",
  "dos_at_fermi_per_ev_cell": 14.52,
  "density_kg_m3": 9989,
  "space_group": "Pmc2_1",
  "magmom_total_mub_per_cell": 0.00,
  "polymorph_energy_kj_per_mol_atoms": 0.0,
  "e_tot_ev_per_atom": -4.761,
  "lattice_angstrom": [[3.829, 0.000, 0.000], [0.000, 9.830, 0.000], [0.000, 0.000, 8.973]],
  "species": ["Tb", "Tb", "Tb", "Tb", "Tb", "Tb", "Pm", "Pm", "Au", "Au", "Au", "Au"],
  "frac_coords": [[0.000, 0.069, 0.000], [0.000, 0.284, 0.348], [0.000, 0.716, 0.848], [0.000, 0.931, 0.500], [0.500, 0.213, 0.671], [0.500, 0.787, 0.171], [0.500, 0.424, 0.022], [0.500, 0.576, 0.522], [0.000, 0.425, 0.742], [0.000, 0.575, 0.242], [0.500, 0.071, 0.280], [0.500, 0.929, 0.780]]
}

Record 15
{
  "formula": "BaRu2Au",
  "functional": "PBE",
  "state": "relaxed",
  "dos_at_fermi_per_ev_cell": 2.01,
  "density_kg_m3": 9084,
  "space_group": "R3m",
  "magmom_total_mub_per_cell": 0.00,
  "polymorph_energy_kj_per_mol_atoms": 0.0,
  "e_tot_ev_per_atom": -5.808,
  "lattice_angstrom": [[2.183, 1.260, 5.941], [-2.183, 1.260, 5.941], [0.000, -2.520, 5.941]],
  "species": ["Ba", "Ru", "Ru", "Au"],
  "frac_coords": [[0.000, 0.000, 0.000], [0.194, 0.194, 0.194], [0.523, 0.523, 0.523], [0.796, 0.796, 0.796]]
}

Record 16
{
  "formula": "KBIr",
  "functional": "PBE",
  "state": "relaxed",
  "dos_at_fermi_per_ev_cell": 3.86,
  "density_kg_m3": 5062,
  "space_group": "P4/nmm",
  "magmom_total_mub_per_cell": 0.00,
  "e_tot_ev_per_atom": -5.741,
  "lattice_angstrom": [[3.984, 0.000, 0.000], [0.000, 3.984, 0.000], [0.000, 0.000, 10.009]],
  "species": ["K", "K", "B", "B", "Ir", "Ir"],
  "frac_coords": [[0.250, 0.250, 0.215], [0.750, 0.750, 0.785], [0.250, 0.250, 0.569], [0.750, 0.750, 0.431], [0.250, 0.750, 0.500], [0.750, 0.250, 0.500]]
}